1.
First-principles (PBE-GGA) data for a geometry-optimized BePd2O4 structure, as listed in OQMD via LeMat-Bulk.

Summary:
- E: -5.598 eV/atom
- Space group: Fd-3m, No. 227

Unit cell a=5.836 b=5.836 c=5.836 alpha=60.00 beta=60.00 gamma=60.00
Fractional positions:
Be (0.125, 0.125, 0.125)
Be (0.875, 0.875, 0.875)
Pd (0.000, 0.500, 0.500)
Pd (0.500, 0.000, 0.500)
Pd (0.500, 0.500, 0.000)
Pd (0.500, 0.500, 0.500)
O (0.228, 0.757, 0.757)
O (0.243, 0.243, 0.243)
O (0.243, 0.243, 0.772)
O (0.243, 0.772, 0.243)
O (0.757, 0.228, 0.757)
O (0.757, 0.757, 0.228)
O (0.757, 0.757, 0.757)
O (0.772, 0.243, 0.243)

=====

2.
First-principles (PBE-GGA) data for a geometry-optimized BePdSeO structure, as listed in OQMD via LeMat-Bulk.

Summary:
- E: -4.995 eV/atom
- Space group: Pca2_1, No. 29

Unit cell a=5.963 b=6.886 c=5.828 alpha=90.00 beta=90.00 gamma=90.00
Fractional positions:
Be (0.097, 0.159, 0.000)
Be (0.403, 0.159, 0.500)
Be (0.597, 0.841, 0.000)
Be (0.903, 0.841, 0.500)
Pd (0.231, 0.661, 0.851)
Pd (0.269, 0.661, 0.351)
Pd (0.731, 0.339, 0.851)
Pd (0.769, 0.339, 0.351)
Se (0.037, 0.138, 0.605)
Se (0.463, 0.138, 0.105)
Se (0.537, 0.862, 0.605)
Se (0.963, 0.862, 0.105)
O (0.018, 0.655, 0.586)
O (0.482, 0.655, 0.086)
O (0.518, 0.345, 0.586)
O (0.982, 0.345, 0.086)

=====

3.
First-principles (PBE-GGA) data for a geometry-optimized BePdSeO structure, as listed in OQMD via LeMat-Bulk.

Summary:
- E: -5.312 eV/atom
- Space group: P2_12_12_1, No. 19

Unit cell a=4.955 b=6.112 c=7.976 alpha=90.00 beta=90.00 gamma=90.00
Fractional positions:
Be (0.073, 0.247, 0.418)
Be (0.427, 0.753, 0.918)
Be (0.573, 0.253, 0.582)
Be (0.927, 0.747, 0.082)
Pd (0.000, 0.484, 0.753)
Pd (0.000, 0.984, 0.747)
Pd (0.500, 0.016, 0.247)
Pd (0.500, 0.516, 0.253)
Se (0.124, 0.769, 0.328)
Se (0.376, 0.231, 0.828)
Se (0.624, 0.731, 0.672)
Se (0.876, 0.269, 0.172)
O (0.111, 0.738, 0.923)
O (0.389, 0.262, 0.423)
O (0.611, 0.762, 0.077)
O (0.889, 0.238, 0.577)

=====

4.
First-principles (PBE-GGA) data for a geometry-optimized BePdSeO structure, as listed in OQMD via LeMat-Bulk.

Summary:
- E: -4.417 eV/atom
- Space group: P4/nmm, No. 129

Unit cell a=3.904 b=3.904 c=7.156 alpha=90.00 beta=90.00 gamma=90.00
Fractional positions:
Be (0.250, 0.750, 0.000)
Be (0.750, 0.250, 0.000)
Pd (0.250, 0.250, 0.493)
Pd (0.750, 0.750, 0.507)
Se (0.250, 0.250, 0.831)
Se (0.750, 0.750, 0.169)
O (0.250, 0.250, 0.225)
O (0.750, 0.750, 0.775)

=====

5.
First-principles (PBE-GGA) data for a geometry-optimized BePdSeO structure, as listed in OQMD via LeMat-Bulk.

Summary:
- E: -4.775 eV/atom
- Space group: P4/nmm, No. 129

Unit cell a=4.805 b=4.805 c=5.642 alpha=90.00 beta=90.00 gamma=90.00
Fractional positions:
Be (0.250, 0.250, 0.217)
Be (0.750, 0.750, 0.783)
Pd (0.250, 0.250, 0.824)
Pd (0.750, 0.750, 0.176)
Se (0.250, 0.750, 0.000)
Se (0.750, 0.250, 0.000)
O (0.250, 0.250, 0.464)
O (0.750, 0.750, 0.536)

=====

6.
First-principles (PBE-GGA) data for a geometry-optimized BePdSeO structure, as listed in OQMD via LeMat-Bulk.

Summary:
- E: -4.488 eV/atom
- Space group: Pca2_1, No. 29

Unit cell a=5.665 b=7.083 c=5.393 alpha=90.00 beta=90.00 gamma=90.00
Fractional positions:
Be (0.007, 0.005, 0.000)
Be (0.493, 0.005, 0.500)
Be (0.507, 0.995, 0.000)
Be (0.993, 0.995, 0.500)
Pd (0.239, 0.825, 0.251)
Pd (0.261, 0.825, 0.751)
Pd (0.739, 0.175, 0.251)
Pd (0.761, 0.175, 0.751)
Se (0.182, 0.319, 0.545)
Se (0.318, 0.319, 0.045)
Se (0.682, 0.681, 0.545)
Se (0.818, 0.681, 0.045)
O (0.116, 0.558, 0.531)
O (0.384, 0.558, 0.031)
O (0.616, 0.442, 0.531)
O (0.884, 0.442, 0.031)

=====

7.
First-principles (PBE-GGA) data for a geometry-optimized BePdSeO structure, as listed in OQMD via LeMat-Bulk.

Summary:
- E: -4.513 eV/atom
- Space group: P4/nmm, No. 129

Unit cell a=3.771 b=3.771 c=8.058 alpha=90.00 beta=90.00 gamma=90.00
Fractional positions:
Be (0.250, 0.250, 0.148)
Be (0.750, 0.750, 0.852)
Pd (0.250, 0.750, 0.500)
Pd (0.750, 0.250, 0.500)
Se (0.250, 0.250, 0.870)
Se (0.750, 0.750, 0.130)
O (0.250, 0.250, 0.335)
O (0.750, 0.750, 0.665)

=====

8.
First-principles (PBE-GGA) data for a geometry-optimized BePdSeO structure, as listed in OQMD via LeMat-Bulk.

Summary:
- E: -5.446 eV/atom
- Space group: Pbca, No. 61

Unit cell a=5.068 b=16.817 c=5.303 alpha=90.00 beta=90.00 gamma=90.00
Fractional positions:
Be (0.048, 0.248, 0.124)
Be (0.048, 0.252, 0.624)
Be (0.452, 0.748, 0.124)
Be (0.452, 0.752, 0.624)
Be (0.548, 0.248, 0.376)
Be (0.548, 0.252, 0.876)
Be (0.952, 0.748, 0.376)
Be (0.952, 0.752, 0.876)
Pd (0.249, 0.075, 0.167)
Pd (0.249, 0.425, 0.667)
Pd (0.251, 0.575, 0.167)
Pd (0.251, 0.925, 0.667)
Pd (0.749, 0.075, 0.333)
Pd (0.749, 0.425, 0.833)
Pd (0.751, 0.575, 0.333)
Pd (0.751, 0.925, 0.833)
Se (0.006, 0.565, 0.747)
Se (0.006, 0.935, 0.247)
Se (0.494, 0.065, 0.747)
Se (0.494, 0.435, 0.247)
Se (0.506, 0.565, 0.753)
Se (0.506, 0.935, 0.253)
Se (0.994, 0.065, 0.753)
Se (0.994, 0.435, 0.253)
O (0.222, 0.246, 0.374)
O (0.222, 0.254, 0.874)
O (0.278, 0.746, 0.374)
O (0.278, 0.754, 0.874)
O (0.722, 0.246, 0.126)
O (0.722, 0.254, 0.626)
O (0.778, 0.746, 0.126)
O (0.778, 0.754, 0.626)

=====

- Which of these has the highest E?
  number 4

=====

- Look up the E of the fifth one.
  -4.775 eV/atom

=====

- Which formula does entry 6 have?
  BePdSeO